[1]
This record from the Alexandria database describes a relaxed structure of TiInGe. The functional is PBE.

mass density: 6.6 Mg/m³
E: -31.10 eV/cell
space-group type: P-1

Cell: 5.8116 5.8160 11.3449 Å, 149.12 130.38 37.16°
Closest atoms and distances in Å follow each position.
Fractional positions:
In 0.0305 0.0834 0.0913  4 Ge 2.96-3.25, 5 Ti 3.03-3.32, 2 In 3.19-3.20
In 0.6821 0.2341 0.3420  4 Ge 2.96-3.25, 5 Ti 3.02-3.32, 2 In 3.19-3.20
Ti 0.3663 0.1735 0.4705  4 Ge 2.66-2.74, 1 Ti 2.96
Ti 0.3463 0.1440 0.9627  4 Ge 2.66-2.74, 1 Ti 2.96
Ge 0.9817 0.1381 0.6444  1 Ge 2.59, 4 Ti 2.66-2.74
Ge 0.7309 0.1794 0.7888  1 Ge 2.59, 4 Ti 2.66-2.74



[2]
This record from the Alexandria database describes a relaxed structure of Ti4InGe. The functional is PBE.

mass density: 5.6 Mg/m³
E: -78.19 eV/cell
space-group type: C2/c

Cell: 5.3085 6.0398 7.6211 Å, 100.14 110.38 90.03°
Closest atoms and distances in Å follow each position.
Fractional positions:
Ti 0.5194 0.0736 0.8433  1 Ge 2.54, 3 Ti 2.76-2.83
Ti 0.6760 0.4262 0.1567  1 Ge 2.54, 3 Ti 2.76-2.83
Ti 0.4806 0.9264 0.1567  1 Ge 2.54, 3 Ti 2.76-2.83
Ti 0.3240 0.5738 0.8433  1 Ge 2.54, 3 Ti 2.76-2.83
Ti 0.9781 0.8971 0.6582  2 Ge 2.51-2.53
Ti 0.3201 0.6027 0.3418  2 Ge 2.51-2.53
Ti 0.0219 0.1029 0.3418  2 Ge 2.51-2.53
Ti 0.6799 0.3973 0.6582  2 Ge 2.51-2.53
In 0.9078 0.7500 0.0001  10 Ti 2.93-3.04, 2 In 3.17-3.18
In 0.0922 0.2500 0.9999  10 Ti 2.93-3.04, 2 In 3.17-3.18
Ge 0.5000 0.0000 0.5000  6 Ti 2.51-2.54
Ge 0.0000 0.5000 0.5000  6 Ti 2.51-2.54



[3]
This record from the Alexandria database describes a relaxed structure of Ti6InGe3. The functional is PBE.

mass density: 5.8 Mg/m³
E: -135.24 eV/cell
space-group type: Cmc2_1

Cell: 6.7671 7.2181 7.2181 Å, 91.38 90.00 90.00°
Closest atoms and distances in Å follow each position.
Fractional positions:
Ti 0.1657 0.7101 0.5883  4 Ge 2.59-2.63, 1 Ti 2.80
Ti 0.6657 0.5883 0.7101  4 Ge 2.59-2.63, 1 Ti 2.80
Ti 0.3161 0.5604 0.9441  4 Ge 2.71-2.90, 4 Ti 2.88-2.99, 1 In 3.00
Ti 0.8161 0.9441 0.5604  4 Ge 2.71-2.90, 4 Ti 2.88-2.99, 1 In 3.00
Ti 0.1645 0.0624 0.9376  4 Ge 2.66-2.68, 1 In 2.82, 1 Ti 2.88
Ti 0.6072 0.2136 0.7864  3 Ge 2.53-2.59, 1 In 2.74, 2 Ti 2.80
Ti 0.1072 0.7864 0.2136  3 Ge 2.53-2.59, 1 In 2.74, 2 Ti 2.80
Ti 0.6645 0.9376 0.0624  4 Ge 2.66-2.68, 1 In 2.82, 1 Ti 2.88
Ti 0.3161 0.0559 0.4396  4 Ge 2.71-2.90, 4 Ti 2.88-2.99, 1 In 3.00
Ti 0.8161 0.4396 0.0559  4 Ge 2.71-2.90, 4 Ti 2.88-2.99, 1 In 3.00
Ti 0.1657 0.4117 0.2899  4 Ge 2.59-2.63, 1 Ti 2.80
Ti 0.6657 0.2899 0.4117  4 Ge 2.59-2.63, 1 Ti 2.80
In 0.9856 0.3086 0.6914  1 Ge 2.65, 4 Ti 2.74-2.96
In 0.4856 0.6914 0.3086  1 Ge 2.65, 4 Ti 2.74-2.96
Ge 0.4547 0.8852 0.7532  7 Ti 2.59-2.85
Ge 0.9547 0.7532 0.8852  7 Ti 2.59-2.85
Ge 0.3549 0.3942 0.6058  7 Ti 2.53-2.71, 1 In 2.65
Ge 0.8549 0.6058 0.3942  7 Ti 2.53-2.71, 1 In 2.65
Ge 0.9547 0.1148 0.2468  7 Ti 2.59-2.85
Ge 0.4547 0.2468 0.1148  7 Ti 2.59-2.85



[4]
This record from the Alexandria database describes a relaxed structure of TiInGe2. The functional is PBE.

energy above the most stable polymorph in this dataset: 0.054 eV/atom
mass density: 6.5 Mg/m³
space-group type: Fm-3m

Cell: 4.8122 4.8122 4.8122 Å, 60.00 60.00 60.00°
Closest atoms and distances in Å follow each position.
Fractional positions:
Ge 0.2500 0.2500 0.2500  4 In 2.95, 4 Ti 2.95
Ge 0.7500 0.7500 0.7500  4 In 2.95, 4 Ti 2.95
Ti 0.0000 0.0000 0.0000  8 Ge 2.95
In 0.5000 0.5000 0.5000  8 Ge 2.95



[5]
This record from the Alexandria database describes a relaxed structure of TiInGe2. The functional is PBE.

energy above the most stable polymorph in this dataset: 0.000 eV/atom
mass density: 6.2 Mg/m³
space-group type: I-42d

Cell: 7.5792 7.5792 6.0776 Å, 51.42 51.42 90.00°
Closest atoms and distances in Å follow each position.
Fractional positions:
Ge 0.6008 0.1250 0.2500  2 Ti 2.65, 2 Ge 2.89, 2 In 2.90
Ge 0.1492 0.6250 0.2500  2 Ti 2.65, 2 Ge 2.89, 2 In 2.90
Ge 0.3750 0.3992 0.7500  2 Ti 2.65, 2 Ge 2.89, 2 In 2.90
Ge 0.8750 0.8508 0.7500  2 Ti 2.65, 2 Ge 2.89, 2 In 2.90
Ti 0.5000 0.5000 0.0000  4 Ge 2.65, 2 In 2.87
Ti 0.2500 0.7500 0.5000  4 Ge 2.65, 2 In 2.87
In 0.0000 0.0000 0.0000  2 Ti 2.87, 4 Ge 2.90
In 0.7500 0.2500 0.5000  2 Ti 2.87, 4 Ge 2.90



[6]
This record from the Alexandria database describes a relaxed structure of Ti5In2Ge2. The functional is PBE.

mass density: 6.2 Mg/m³
E: -114.64 eV/cell
space-group type: Cmce

Cell: 6.9347 6.8506 7.7537 Å, 90.00 63.44 90.00°
Closest atoms and distances in Å follow each position.
Fractional positions:
Ti 0.0000 0.0000 0.0000  4 Ge 2.68-2.71
Ti 0.5000 0.5000 0.0000  4 Ge 2.68-2.71
Ti 0.4463 0.1729 0.7611  3 Ge 2.52-2.70, 1 In 2.81
Ti 0.7926 0.8271 0.7611  3 Ge 2.52-2.70, 1 In 2.81
Ti 0.2926 0.6729 0.7611  3 Ge 2.52-2.70, 1 In 2.81
Ti 0.9463 0.3271 0.7611  3 Ge 2.52-2.70, 1 In 2.81
Ti 0.5537 0.8271 0.2389  3 Ge 2.52-2.70, 1 In 2.81
Ti 0.2074 0.1729 0.2389  3 Ge 2.52-2.70, 1 In 2.81
Ti 0.7074 0.3271 0.2389  3 Ge 2.52-2.70, 1 In 2.81
Ti 0.0537 0.6729 0.2389  3 Ge 2.52-2.70, 1 In 2.81
In 0.2181 0.0000 0.5639  7 Ti 2.81-3.02
In 0.7181 0.5000 0.5639  7 Ti 2.81-3.02
In 0.7819 0.0000 0.4361  7 Ti 2.81-3.02
In 0.2819 0.5000 0.4361  7 Ti 2.81-3.02
Ge 0.1314 0.3681 0.0000  8 Ti 2.52-2.71, 1 Ge 2.57
Ge 0.8686 0.6319 0.0000  8 Ti 2.52-2.71, 1 Ge 2.57
Ge 0.3686 0.8681 0.0000  8 Ti 2.52-2.71, 1 Ge 2.57
Ge 0.6314 0.1319 0.0000  8 Ti 2.52-2.71, 1 Ge 2.57



[7]
This record from the Alexandria database describes a relaxed structure of YTi2InGe. The functional is PBE.

mass density: 5.1 Mg/m³
E: -29.44 eV/cell
space-group type: P4/mmm

Cell: 4.8102 5.2714 4.8102 Å, 90.00 90.00 90.00°
Closest atoms and distances in Å follow each position.
Fractional positions:
Y 0.0000 0.5000 0.0000  2 Ge 2.64
Ge 0.0000 0.0000 0.0000  4 Ti 2.41, 2 Y 2.64
Ti 0.0000 0.0000 0.5000  2 Ge 2.41
Ti 0.5000 0.0000 0.0000  2 Ge 2.41
In 0.5000 0.5000 0.5000  4 Y 3.40, 8 Ti 3.57



[8]
This record from the Alexandria database describes a relaxed structure of TiZnInGe2. The functional is PBE.

mass density: 5.4 Mg/m³
E: -17.33 eV/cell
space-group type: P4/mmm

Cell: 4.7326 5.1357 4.7326 Å, 90.00 90.00 90.00°
Closest atoms and distances in Å follow each position.
Fractional positions:
Ge 0.0000 0.0000 0.5000  2 Zn 2.37
Ge 0.5000 0.0000 0.0000  2 Zn 2.37
Ti 0.5000 0.5000 0.5000  4 In 3.35, 8 Ge 3.49
Zn 0.0000 0.0000 0.0000  4 Ge 2.37, 2 In 2.57
In 0.0000 0.5000 0.0000  2 Zn 2.57



[9]
This record from the Alexandria database describes a relaxed structure of Tl2InGe2. The functional is PBE.

energy above the most stable polymorph in this dataset: 0.014 eV/atom
mass density: 8.2 Mg/m³
space-group type: I4/mmm

Cell: 3.7499 3.7499 10.0342 Å, 79.23 79.23 90.00°
Closest atoms and distances in Å follow each position.
Fractional positions:
Tl 0.3875 0.3875 0.2250  4 Ge 3.26, 4 In 3.43
Tl 0.6125 0.6125 0.7750  4 Ge 3.26, 4 In 3.43
Ge 0.7500 0.2500 0.5000  4 Ge 2.65
Ge 0.2500 0.7500 0.5000  4 Ge 2.65
In 0.0000 0.0000 0.0000  8 Tl 3.43, 4 In 3.75



[10]
This record from the Alexandria database describes a relaxed structure of TlIn2Ge. The functional is PBE.

mass density: 7.7 Mg/m³
E: -23.85 eV/cell
space-group type: I-42d

Cell: 8.4055 8.4055 6.6947 Å, 51.11 51.11 90.00°
Closest atoms and distances in Å follow each position.
Fractional positions:
Tl 0.0000 0.0000 0.0000  2 Ge 3.08, 4 In 3.35
Tl 0.7500 0.2500 0.5000  2 Ge 3.08, 4 In 3.35
Ge 0.5000 0.5000 0.0000  4 In 2.82, 2 Tl 3.08
Ge 0.2500 0.7500 0.5000  4 In 2.82, 2 Tl 3.08
In 0.5786 0.1250 0.2500  2 Ge 2.82
In 0.1714 0.6250 0.2500  2 Ge 2.82
In 0.3750 0.4214 0.7500  2 Ge 2.82
In 0.8750 0.8286 0.7500  2 Ge 2.82



[11]
This record from the Alexandria database describes a relaxed structure of TlIn3Ge. The functional is PBE.

energy above the most stable polymorph in this dataset: 0.000 eV/atom
mass density: 6.3 Mg/m³
space-group type: Pm-3m

Cell: 5.4767 5.4767 5.4767 Å, 90.00 90.00 90.00°
Closest atoms and distances in Å follow each position.
Fractional positions:
Tl 0.5000 0.5000 0.5000  12 In 3.87
Ge 0.0000 0.0000 0.0000  6 In 2.74
In 0.0000 0.5000 0.0000  2 Ge 2.74
In 0.0000 0.0000 0.5000  2 Ge 2.74
In 0.5000 0.0000 0.0000  2 Ge 2.74



[12]
This record from the Alexandria database describes a relaxed structure of Tl2In2Ge. The functional is PBE.

energy above the most stable polymorph in this dataset: 0.000 eV/atom
mass density: 8.1 Mg/m³
space-group type: P4/mbm

Cell: 7.4135 7.4135 5.2729 Å, 90.00 90.00 90.00°
Closest atoms and distances in Å follow each position.
Fractional positions:
Tl 0.1733 0.6733 0.5000  6 In 3.27-3.53, 1 Tl 3.63
Tl 0.6733 0.8267 0.5000  6 In 3.27-3.53, 1 Tl 3.63
Tl 0.8267 0.3267 0.5000  6 In 3.27-3.53, 1 Tl 3.63
Tl 0.3267 0.1733 0.5000  6 In 3.27-3.53, 1 Tl 3.63
Ge 0.0000 0.0000 0.0000  4 In 2.85
Ge 0.5000 0.5000 0.0000  4 In 2.85
In 0.3571 0.8571 0.0000  2 Ge 2.85, 1 In 3.00
In 0.8571 0.6429 0.0000  2 Ge 2.85, 1 In 3.00
In 0.6429 0.1429 0.0000  2 Ge 2.85, 1 In 3.00
In 0.1429 0.3571 0.0000  2 Ge 2.85, 1 In 3.00



Among the records above, which one has the lowest mass density? YTi2InGe



Which value of mass density does entry 9 give? 8.2 Mg/m³



The highest mass density belongs to which entry? Tl2InGe2